! CsHfN3 (PBE, optimized geometry); values from VASP
! formation energy from raw total energies: 2.536 eV per atom
! calculated total energy: -23.10 eV/cell
&SYSTEM
  ibrav = 0, nat = 5, ntyp = 3
/
ATOMIC_SPECIES
Cs 132.91 Cs.upf
Hf 178.49 Hf.upf
N 14.01 N.upf
ATOMIC_POSITIONS crystal
Cs 0.000 0.000 0.000
Hf 0.500 0.500 0.500
N 0.000 0.000 0.500
N 0.000 0.500 0.000
N 0.500 0.000 0.000
CELL_PARAMETERS angstrom
4.244 0.000 0.000
0.000 4.244 0.000
0.000 0.000 4.244



! CsHfNO2 (PBE, optimized geometry); values from VASP
! formation energy from raw total energies: -1.479 eV per atom
! calculated total energy: -36.44 eV/cell
&SYSTEM
  ibrav = 0, nat = 5, ntyp = 4
/
ATOMIC_SPECIES
Cs 132.91 Cs.upf
Hf 178.49 Hf.upf
N 14.01 N.upf
O 16.00 O.upf
ATOMIC_POSITIONS crystal
Cs 0.000 0.000 0.000
Hf 0.500 0.500 0.500
N 0.500 0.500 0.000
O 0.000 0.500 0.500
O 0.500 0.000 0.500
CELL_PARAMETERS angstrom
4.164 0.000 0.000
0.000 4.164 0.000
0.000 0.000 4.482